[1]
{"formula": "Zr2PbF2", "functional": "PBE", "state": "optimized geometry", "lattice": [[3.760, 0.000, 0.000], [0.000, 3.760, 0.000], [0.000, 0.000, 12.164]], "species": ["Zr", "Zr", "Zr", "Zr", "Pb", "Pb", "F", "F", "F", "F"], "frac_coords": [[0.000, 0.000, 0.126], [0.000, 0.000, 0.874], [0.500, 0.500, 0.374], [0.500, 0.500, 0.626], [0.000, 0.000, 0.500], [0.500, 0.500, 0.000], [0.000, 0.500, 0.250], [0.000, 0.500, 0.750], [0.500, 0.000, 0.250], [0.500, 0.000, 0.750]], "raw_formation_energy_ev_per_atom": -1.706, "sg": "I4/mmm", "vol_a3_per_atom": 17.19}

=====

[2]
{"formula": "ZrPbF6", "functional": "PBE", "state": "optimized geometry", "lattice": [[3.839, -5.628, 0.000], [3.839, 5.628, 0.000], [0.000, 0.000, 5.461]], "species": ["Zr", "Zr", "Pb", "Pb", "F", "F", "F", "F", "F", "F", "F", "F", "F", "F", "F", "F"], "frac_coords": [[0.250, 0.250, 0.000], [0.750, 0.750, 0.000], [0.250, 0.750, 0.527], [0.750, 0.250, 0.473], [0.061, 0.315, 0.742], [0.073, 0.927, 0.845], [0.185, 0.439, 0.258], [0.315, 0.061, 0.258], [0.427, 0.573, 0.845], [0.439, 0.185, 0.742], [0.561, 0.815, 0.258], [0.573, 0.427, 0.155], [0.685, 0.939, 0.742], [0.815, 0.561, 0.742], [0.927, 0.073, 0.155], [0.939, 0.685, 0.258]], "raw_formation_energy_ev_per_atom": -3.226, "sg": "Cmme", "vol_a3_per_atom": 14.75}

=====

[3]
{"formula": "ZrPb2F", "functional": "PBE", "state": "optimized geometry", "lattice": [[7.202, 0.000, 0.000], [0.000, 7.202, 0.000], [0.000, 0.000, 7.202]], "species": ["Zr", "Zr", "Zr", "Zr", "Pb", "Pb", "Pb", "Pb", "Pb", "Pb", "Pb", "Pb", "F", "F", "F", "F"], "frac_coords": [[0.000, 0.000, 0.000], [0.000, 0.500, 0.500], [0.500, 0.000, 0.500], [0.500, 0.500, 0.000], [0.250, 0.250, 0.250], [0.250, 0.250, 0.750], [0.250, 0.750, 0.250], [0.250, 0.750, 0.750], [0.750, 0.250, 0.250], [0.750, 0.250, 0.750], [0.750, 0.750, 0.250], [0.750, 0.750, 0.750], [0.000, 0.000, 0.500], [0.000, 0.500, 0.000], [0.500, 0.000, 0.000], [0.500, 0.500, 0.500]], "raw_formation_energy_ev_per_atom": -0.295, "sg": "Fm-3m", "vol_a3_per_atom": 23.35}

=====

[4]
{"formula": "Zr2Pb2F", "functional": "PBE", "state": "optimized geometry", "lattice": [[6.439, 0.000, 0.000], [0.000, 6.439, 0.000], [0.000, 0.000, 5.259]], "species": ["Zr", "Zr", "Zr", "Zr", "Pb", "Pb", "Pb", "Pb", "F", "F"], "frac_coords": [[0.160, 0.340, 0.000], [0.340, 0.840, 0.000], [0.660, 0.160, 0.000], [0.840, 0.660, 0.000], [0.173, 0.673, 0.500], [0.327, 0.173, 0.500], [0.673, 0.827, 0.500], [0.827, 0.327, 0.500], [0.000, 0.000, 0.000], [0.500, 0.500, 0.000]], "raw_formation_energy_ev_per_atom": -0.768, "sg": "P4/mbm", "vol_a3_per_atom": 21.81}

=====

[5]
{"formula": "Zr2PbF", "functional": "PBE", "state": "optimized geometry", "lattice": [[6.892, 0.000, 0.000], [0.000, 6.892, 0.000], [0.000, 0.000, 6.892]], "species": ["Zr", "Zr", "Zr", "Zr", "Zr", "Zr", "Zr", "Zr", "Pb", "Pb", "Pb", "Pb", "F", "F", "F", "F"], "frac_coords": [[0.250, 0.250, 0.250], [0.250, 0.250, 0.750], [0.250, 0.750, 0.250], [0.250, 0.750, 0.750], [0.750, 0.250, 0.250], [0.750, 0.250, 0.750], [0.750, 0.750, 0.250], [0.750, 0.750, 0.750], [0.000, 0.000, 0.000], [0.000, 0.500, 0.500], [0.500, 0.000, 0.500], [0.500, 0.500, 0.000], [0.000, 0.000, 0.500], [0.000, 0.500, 0.000], [0.500, 0.000, 0.000], [0.500, 0.500, 0.500]], "raw_formation_energy_ev_per_atom": -0.600, "sg": "Fm-3m", "vol_a3_per_atom": 20.46}

=====

[6]
{"formula": "ZrPb3F10", "functional": "PBE", "state": "optimized geometry", "lattice": [[5.342, -6.482, 0.000], [5.342, 6.482, 0.000], [0.000, 0.000, 6.101]], "species": ["Zr", "Zr", "Pb", "Pb", "Pb", "Pb", "Pb", "Pb", "F", "F", "F", "F", "F", "F", "F", "F", "F", "F", "F", "F", "F", "F", "F", "F", "F", "F", "F", "F"], "frac_coords": [[0.184, 0.816, 0.750], [0.816, 0.184, 0.250], [0.110, 0.320, 0.750], [0.320, 0.110, 0.250], [0.389, 0.611, 0.250], [0.611, 0.389, 0.750], [0.680, 0.890, 0.750], [0.890, 0.680, 0.250], [0.075, 0.256, 0.250], [0.104, 0.896, 0.046], [0.104, 0.896, 0.454], [0.155, 0.603, 0.540], [0.155, 0.603, 0.960], [0.256, 0.075, 0.750], [0.364, 0.364, 0.000], [0.364, 0.364, 0.500], [0.397, 0.845, 0.540], [0.397, 0.845, 0.960], [0.603, 0.155, 0.040], [0.603, 0.155, 0.460], [0.636, 0.636, 0.000], [0.636, 0.636, 0.500], [0.744, 0.925, 0.250], [0.845, 0.397, 0.040], [0.845, 0.397, 0.460], [0.896, 0.104, 0.546], [0.896, 0.104, 0.954], [0.925, 0.744, 0.750]], "raw_formation_energy_ev_per_atom": -2.864, "sg": "Cmcm", "vol_a3_per_atom": 15.09}